<a>
Li5MnCo2O8 (PBE+U, optimized geometry); SG = P1; V = 138.74 Å³/f.u.
1.0
4.9630 0.0000 0.0000
0.8336 5.0199 0.0000
0.0157 1.7445 5.5687
Li Mn Co O
5 1 2 8
direct
0.0000 0.0000 0.0000 Li
0.0037 0.0070 0.5092 Li
0.5110 0.9861 0.7508 Li
0.5168 0.9832 0.2602 Li
0.7574 0.4943 0.6277 Li
0.2574 0.4940 0.8788 Mn
0.2573 0.4940 0.3905 Co
0.7577 0.4914 0.1260 Co
0.1184 0.2673 0.1766 O
0.1530 0.2601 0.7040 O
0.3609 0.7309 0.5822 O
0.3987 0.7154 0.0645 O
0.6201 0.2758 0.9525 O
0.6258 0.2709 0.4119 O
0.8905 0.7072 0.2997 O
0.8934 0.7150 0.8414 O


<b>
Li5MnCo2O8 (PBE+U, optimized geometry); SG = Cm; V = 135.36 Å³/f.u.
1.0
6.2332 -1.4292 0.0000
6.2332 1.4292 0.0000
-6.0800 0.0000 7.5974
Li Mn Co O
5 1 2 8
direct
0.0000 0.0000 0.0000 Li
0.1212 0.1212 0.3641 Li
0.2441 0.2441 0.7329 Li
0.5024 0.5024 0.4913 Li
0.7350 0.7350 0.2437 Li
0.3740 0.3740 0.1189 Mn
0.6175 0.6175 0.8622 Co
0.8654 0.8654 0.6116 Co
0.0560 0.0560 0.6927 O
0.1786 0.1786 0.0317 O
0.3201 0.3201 0.4545 O
0.4329 0.4329 0.7823 O
0.5415 0.5415 0.1676 O
0.6998 0.6998 0.5613 O
0.8038 0.8038 0.9417 O
0.9198 0.9198 0.2802 O


Consider the structures shown above. The least stable of them is <b>.